# 1
Pr2CdSn | GGA-PBEsol | optimized geometry

Output
- E: -72.38 eV per cell
- Size of the total moment: 0.0 μB per cell

Cell: 7.630 7.630 7.630 Å, 90.00 90.00 90.00°
Space group Fm-3m (No. 225)
Inequivalent atoms, fractional coordinates:
1 Pr 0.250 0.250 0.250
2 Cd 0.000 0.000 0.000
3 Sn 0.000 0.000 0.500

# 2
Pr2TlCd | GGA-PBEsol | optimized geometry

Output
- E: -63.11 eV per cell
- Size of the total moment: 0.0 μB per cell

Cell: 7.671 7.671 7.671 Å, 90.00 90.00 90.00°
Space group Fm-3m (No. 225)
Inequivalent atoms, fractional coordinates:
1 Pr 0.250 0.250 0.250
2 Tl 0.000 0.000 0.000
3 Cd 0.000 0.000 0.500

# 3
CdPt2 | GGA-PBEsol | optimized geometry

Output
- E: -55.86 eV per cell
- Size of the total moment: 0.0 μB per cell

Cell: 6.097 6.097 6.097 Å, 90.00 90.00 90.00°
Space group Fm-3m (No. 225)
Inequivalent atoms, fractional coordinates:
1 Cd 0.000 0.000 0.000
2 Pt 0.250 0.250 0.250

# 4
CdPt3 | GGA-PBEsol | optimized geometry

Output
- E: -45.38 eV per cell
- Size of the total moment: 0.0 μB per cell

Cell: 9.354 2.803 4.874 Å, 90.00 99.86 90.00°
Space group C2/m (No. 12)
Inequivalent atoms, fractional coordinates:
1 Cd 0.000 0.000 0.000
2 Pt 0.000 0.500 0.500
3 Pt 0.248 0.000 0.744

# 5
CdPt2 | GGA-PBEsol | optimized geometry

Output
- E: -126.18 eV per cell
- Size of the total moment: 0.0 μB per cell

Cell: 3.997 3.997 24.076 Å, 90.00 90.00 90.00°
Space group I4_1/amd (No. 141, origin choice 2)
Inequivalent atoms, fractional coordinates:
1 Cd 0.000 0.250 0.293
2 Pt 0.000 0.250 0.124
3 Pt 0.000 0.250 0.793

# 6
CdPt3 | GGA-PBEsol | optimized geometry

Output
- E: -22.75 eV per cell
- Size of the total moment: 0.0 μB per cell

Cell: 3.976 3.976 3.976 Å, 90.00 90.00 90.00°
Space group Pm-3m (No. 221)
Inequivalent atoms, fractional coordinates:
1 Cd 0.000 0.000 0.000
2 Pt 0.000 0.500 0.500

# 7
CdPt2 | GGA-PBEsol | optimized geometry

Output
- E: -62.46 eV per cell
- Size of the total moment: 0.0 μB per cell

Cell: 10.539 2.820 6.728 Å, 90.00 105.79 90.00°
Space group Cm (No. 8)
Inequivalent atoms, fractional coordinates:
1 Cd 0.000 0.000 0.000
2 Cd 0.178 0.500 0.347
3 Pt 0.057 0.000 0.617
4 Pt 0.223 0.500 0.949
5 Pt 0.335 0.000 0.674
6 Pt 0.399 0.000 0.285

# 8
Cd2Pt | GGA-PBEsol | optimized geometry

Output
- E: -39.45 eV per cell
- Size of the total moment: 0.0 μB per cell

Cell: 6.331 6.331 6.331 Å, 90.00 90.00 90.00°
Space group Fm-3m (No. 225)
Inequivalent atoms, fractional coordinates:
1 Cd 0.250 0.250 0.250
2 Pt 0.000 0.000 0.000

# 9
CdPt3 | GGA-PBEsol | optimized geometry

Output
- E: -90.36 eV per cell
- Size of the total moment: 0.0 μB per cell

Cell: 5.654 9.604 4.652 Å, 90.00 90.00 90.00°
Space group Cmcm (No. 63)
Inequivalent atoms, fractional coordinates:
1 Cd 0.000 0.085 0.250
2 Pt 0.000 0.416 0.750
3 Pt 0.242 0.334 0.250

# 10
Cd2Pt | GGA-PBEsol | optimized geometry

Output
- E: -38.59 eV per cell
- Size of the total moment: 0.0 μB per cell

Cell: 2.932 15.314 4.806 Å, 90.00 90.00 90.00°
Space group Cmcm (No. 63)
Inequivalent atoms, fractional coordinates:
1 Cd 0.000 0.059 0.250
2 Cd 0.000 0.374 0.250
3 Pt 0.000 0.281 0.750

# 11
CdPt2 | GGA-PBEsol | optimized geometry

Output
- E: -62.28 eV per cell
- Size of the total moment: 0.0 μB per cell

Cell: 2.825 14.582 4.687 Å, 90.00 90.00 90.00°
Space group Cmcm (No. 63)
Inequivalent atoms, fractional coordinates:
1 Cd 0.000 0.106 0.250
2 Pt 0.000 0.229 0.750
3 Pt 0.000 0.439 0.250

# 12
CdPt3 | GGA-PBEsol | optimized geometry

Output
- E: -22.30 eV per cell
- Size of the total moment: 0.0 μB per cell

Cell: 2.7956 2.7956 9.2857 Å, 90.00 90.00 120.00°
Space group P-6m2 (No. 187)
Inequivalent atoms, fractional coordinates:
1 Cd 0.0000 0.0000 0.0000
2 Pt 0.0000 0.0000 0.5000
3 Pt 0.6667 0.3333 0.2509

# 13
Cd2Pt | GGA-PBEsol | optimized geometry

Output
- E: -30.28 eV per cell
- Size of the total moment: 0.0 μB per cell

Cell: 7.9277 7.9277 2.9386 Å, 90.00 90.00 120.00°
Space group P-62m (No. 189)
Inequivalent atoms, fractional coordinates:
1 Cd 0.0000 0.3727 0.0000
2 Cd 0.0000 0.7026 0.5000
3 Pt 0.0000 0.0000 0.0000
4 Pt 0.3333 0.6667 0.5000

# 14
CdPt7 | GGA-PBEsol | optimized geometry

Output
- E: -203.12 eV per cell
- Size of the total moment: 0.0 μB per cell

Cell: 7.883 7.883 7.883 Å, 90.00 90.00 90.00°
Space group Fm-3m (No. 225)
Inequivalent atoms, fractional coordinates:
1 Cd 0.000 0.000 0.000
2 Pt 0.000 0.000 0.500
3 Pt 0.000 0.250 0.250

# 15
CdPt4 | GGA-PBEsol | optimized geometry

Output
- Energy above the lowest structure with this stoichiometry: 0.0 meV/atom
- E: -59.16 eV per cell
- Size of the total moment: 0.0 μB per cell

Cell: 6.260 6.260 3.987 Å, 90.00 90.00 90.00°
Space group I4/m (No. 87)
Inequivalent atoms, fractional coordinates:
1 Cd 0.000 0.000 0.000
2 Pt 0.100 0.304 0.500

# 16
Cd2Pt | GGA-PBEsol | optimized geometry

Output
- E: -20.11 eV per cell
- Size of the total moment: 0.0 μB per cell

Cell: 2.933 4.080 8.786 Å, 90.00 90.00 90.00°
Space group Immm (No. 71)
Inequivalent atoms, fractional coordinates:
1 Cd 0.000 0.000 0.162
2 Pt 0.000 0.000 0.500

# 17
Cd7Pt | GGA-PBEsol | optimized geometry

Output
- E: -63.20 eV per cell
- Size of the total moment: 0.0 μB per cell

Cell: 8.479 8.479 8.479 Å, 90.00 90.00 90.00°
Space group Fm-3m (No. 225)
Inequivalent atoms, fractional coordinates:
1 Cd 0.000 0.000 0.000
2 Cd 0.000 0.250 0.250
3 Pt 0.000 0.000 0.500

# 18
Cd2Pt | GGA-PBEsol | optimized geometry

Output
- E: -40.39 eV per cell
- Size of the total moment: 0.0 μB per cell

Cell: 5.327 4.614 8.659 Å, 90.00 90.00 90.00°
Space group Pnma (No. 62)
Inequivalent atoms, fractional coordinates:
1 Cd 0.115 0.250 0.180
2 Cd 0.169 0.250 0.525
3 Pt 0.185 0.250 0.847

# 19
CdPt3 | GGA-PBEsol | optimized geometry

Output
- E: -45.65 eV per cell
- Size of the total moment: 0.0 μB per cell

Cell: 5.721 7.802 2.809 Å, 90.00 90.00 90.00°
Space group Cmmm (No. 65)
Inequivalent atoms, fractional coordinates:
1 Cd 0.000 0.000 0.000
2 Pt 0.000 0.500 0.000
3 Pt 0.250 0.250 0.500

# 20
CdPt3 | GGA-PBEsol | optimized geometry

Output
- E: -22.58 eV per cell
- Size of the total moment: 0.0 μB per cell

Cell: 2.807 2.807 7.995 Å, 90.00 90.00 90.00°
Space group P4/mmm (No. 123)
Inequivalent atoms, fractional coordinates:
1 Cd 0.000 0.000 0.000
2 Pt 0.000 0.000 0.500
3 Pt 0.500 0.500 0.257

# 21
CdPt4 | GGA-PBEsol | optimized geometry

Output
- Energy above the lowest structure with this stoichiometry: 1085.5 meV/atom
- E: -48.30 eV per cell
- Size of the total moment: 0.0 μB per cell

Cell: 5.817 5.817 5.817 Å, 90.00 90.00 90.00°
Space group Im-3m (No. 229)
Inequivalent atoms, fractional coordinates:
1 Cd 0.000 0.000 0.000
2 Pt 0.250 0.250 0.250

# 22
CdPt3 | GGA-PBEsol | optimized geometry

Output
- E: -22.66 eV per cell
- Size of the total moment: 0.0 μB per cell

Cell: 2.800 4.706 4.794 Å, 90.00 90.00 90.00°
Space group Pmm2 (No. 25)
Inequivalent atoms, fractional coordinates:
1 Cd 0.000 0.000 0.000
2 Pt 0.000 0.500 0.407
3 Pt 0.500 0.000 0.494
4 Pt 0.500 0.500 0.894

# 23
CdPt2 | GGA-PBEsol | optimized geometry

Output
- E: -62.50 eV per cell
- Size of the total moment: 0.0 μB per cell

Cell: 10.544 2.821 6.762 Å, 90.00 106.28 90.00°
Space group C2/m (No. 12)
Inequivalent atoms, fractional coordinates:
1 Cd 0.027 0.000 0.300
2 Pt 0.142 0.500 0.025
3 Pt 0.198 0.500 0.641

# 24
CdPt3 | GGA-PBEsol | optimized geometry

Output
- E: -45.22 eV per cell
- Size of the total moment: 0.0 μB per cell

Cell: 2.784 9.371 4.831 Å, 90.00 90.00 90.00°
Space group Imm2 (No. 44)
Inequivalent atoms, fractional coordinates:
1 Cd 0.000 0.000 0.000
2 Pt 0.000 0.247 0.663
3 Pt 0.000 0.500 0.995

# 25
Cd4Pt5 | GGA-PBEsol | optimized geometry

Output
- E: -83.08 eV per cell
- Size of the total moment: 0.0 μB per cell

Cell: 8.534 8.534 4.105 Å, 90.00 90.00 90.00°
Space group I4/mmm (No. 139)
Inequivalent atoms, fractional coordinates:
1 Cd 0.000 0.320 0.000
2 Pt 0.000 0.000 0.000
3 Pt 0.165 0.165 0.500

# 26
Cd2Pt | GGA-PBEsol | optimized geometry

Output
- E: -322.77 eV per cell
- Size of the total moment: 0.0 μB per cell

Cell: 12.153 12.153 12.153 Å, 90.00 90.00 90.00°
Space group Fd-3m (No. 227, origin choice 2)
Inequivalent atoms, fractional coordinates:
1 Cd 0.000 0.000 0.000
2 Cd 0.066 0.375 0.875
3 Pt 0.032 0.032 0.218

# 27
CdPt2 | GGA-PBEsol | optimized geometry

Output
- E: -123.96 eV per cell
- Size of the total moment: 0.0 μB per cell

Cell: 7.457 7.457 7.457 Å, 90.00 90.00 90.00°
Space group Fd-3m (No. 227, origin choice 2)
Inequivalent atoms, fractional coordinates:
1 Cd 0.125 0.125 0.125
2 Pt 0.000 0.000 0.500

Theoretical density readings, ordered: 7.67; 8.81; 14.73; 18.40; 17.36; 18.43; 17.35; 10.99; 18.34; 12.92; 17.29; 18.43; 13.08; 20.04; 18.98; 13.27; 10.70; 13.10; 18.48; 18.39; 15.06; 18.34; 17.29; 18.39; 15.83; 12.43; 16.10 g cm⁻³
Formation enthalpy at 0 K readings, ordered: -0.568; -0.395; 0.386; -0.150; -0.216; -0.165; -0.163; -0.169; -0.126; -0.097; -0.149; -0.053; -0.245; -0.105; -0.105; -0.232; -0.057; -0.247; -0.184; -0.123; 0.980; -0.142; -0.167; -0.131; -0.215; -0.243; -0.124 eV per atom